Record 1
## CeEuBiCl (PBE)

Data for a relaxed CeEuBiCl crystal.

Structure (POSCAR):
```
CeEuBiCl
1.0
0.0000 3.8806 3.8806
3.8806 0.0000 3.8806
3.8806 3.8806 0.0000
Ce Eu Bi Cl
1 1 1 1
direct
0.0000 0.0000 0.0000
0.5000 0.5000 0.5000
0.2500 0.2500 0.2500
0.7500 0.7500 0.7500
```

***

Record 2
NbTl2Os2 PBE relaxed; formation energy from the elements = 702 meV per atom; distance to the lowest polymorph of the same formula = 0.000 eV/atom
1.0
6.7220 0.0000 0.0000
0.0000 6.7220 0.0000
0.0000 0.0000 4.4322
Nb Tl Os
2 4 4
direct
0.0000 0.0000 0.0000
0.5000 0.5000 0.0000
0.1819 0.3181 0.5000
0.3181 0.8181 0.5000
0.6819 0.1819 0.5000
0.8181 0.6819 0.5000
0.1284 0.6284 0.0000
0.3716 0.1284 0.0000
0.6284 0.8716 0.0000
0.8716 0.3716 0.0000

***

Record 3
## La7BiSb2N2 (PBE)

Data for a relaxed La7BiSb2N2 crystal.

Structure (POSCAR):
```
La7BiSb2N2
1.0
-2.5212 2.5212 13.4301
2.5212 -2.5212 13.4301
2.5212 2.5212 -13.4301
La Bi Sb N
7 1 2 2
direct
0.0000 0.0000 0.0000
0.0922 0.5922 0.5000
0.1939 0.1939 0.0000
0.4078 0.9078 0.5000
0.5922 0.0922 0.5000
0.8061 0.8061 0.0000
0.9078 0.4078 0.5000
0.5000 0.5000 0.0000
0.3189 0.3189 0.0000
0.6811 0.6811 0.0000
0.1010 0.1010 0.0000
0.8990 0.8990 0.0000
```

***

Record 4
AlPRh3 PBE relaxed; formation energy from the elements = 793 meV per atom; distance to the lowest polymorph of the same formula = 0.966 eV/atom
1.0
4.4425 0.0000 0.0000
0.0000 4.4425 0.0000
0.0000 0.0000 4.4425
Al P Rh
1 1 3
direct
0.0000 0.0000 0.0000
0.5000 0.5000 0.5000
0.0000 0.0000 0.5000
0.0000 0.5000 0.0000
0.5000 0.0000 0.0000

***

Density / g/cm3: 7.62, 14.63, 7.07, 6.94
Calculated total energy / eV/atom: -6.55, -6.75, -6.35, -5.45